# 1
Below is Sm10Dy4Er after structural relaxation, with properties calculated at the PBE-GGA level.

Output
- Electronic total energy: -3.97 eV per atom
- ΔH_f (0 K): 10.63 eV/f.u.

Cell: 9.495 9.495 9.495 Å, 99.57 99.57 131.88°
Fractional positions:
Sm (0.050, 0.350, 0.899)
Sm (0.151, 0.050, 0.700)
Sm (0.250, 0.750, 0.500)
Sm (0.350, 0.450, 0.300)
Sm (0.450, 0.151, 0.101)
Sm (0.550, 0.849, 0.899)
Sm (0.650, 0.550, 0.700)
Sm (0.750, 0.250, 0.500)
Sm (0.849, 0.950, 0.300)
Sm (0.950, 0.650, 0.101)
Dy (0.100, 0.701, 0.801)
Dy (0.299, 0.100, 0.400)
Dy (0.701, 0.900, 0.600)
Dy (0.900, 0.299, 0.199)
Er (0.500, 0.500, 0.000)



# 2
Below is LaGdMgMn after structural relaxation, with properties calculated at the PBE-GGA level.

Output
- Electronic total energy: -7.35 eV per atom
- ΔH_f (0 K): 0.38 eV/f.u.

Cell: 5.328 5.328 5.328 Å, 60.00 60.00 60.00°
Fractional positions:
La (0.000, 0.000, 0.000)
Gd (0.500, 0.500, 0.500)
Mg (0.250, 0.250, 0.250)
Mn (0.750, 0.750, 0.750)



# 3
Below is Cs4CeU3O12 after structural relaxation, with properties calculated at the PBE-GGA level.

Output
- Electronic total energy: -7.95 eV per atom
- ΔE_f (raw): -2.81 eV/atom

Cell: 7.689 7.689 7.689 Å, 109.47 109.47 109.47°
Fractional positions:
Cs (0.000, 0.000, 0.500)
Cs (0.000, 0.500, 0.000)
Cs (0.500, 0.000, 0.000)
Cs (0.500, 0.500, 0.500)
Ce (0.000, 0.000, 0.000)
U (0.000, 0.500, 0.500)
U (0.500, 0.000, 0.500)
U (0.500, 0.500, 0.000)
O (0.000, 0.268, 0.268)
O (0.000, 0.732, 0.732)
O (0.250, 0.500, 0.750)
O (0.250, 0.750, 0.500)
O (0.268, 0.000, 0.268)
O (0.268, 0.268, 0.000)
O (0.500, 0.250, 0.750)
O (0.500, 0.750, 0.250)
O (0.732, 0.000, 0.732)
O (0.732, 0.732, 0.000)
O (0.750, 0.250, 0.500)
O (0.750, 0.500, 0.250)



# 4
Below is Sm2Tl3InTe6 after structural relaxation, with properties calculated at the PBE-GGA level.

Output
- Electronic total energy: -3.96 eV per atom
- ΔE_f (raw): -0.78 eV/atom

Cell: 7.797 7.797 8.530 Å, 98.85 98.85 119.96°
Fractional positions:
Sm (0.165, 0.835, 0.000)
Sm (0.835, 0.165, 0.000)
Tl (0.000, 0.000, 0.500)
Tl (0.327, 0.673, 0.500)
Tl (0.673, 0.327, 0.500)
In (0.500, 0.500, 0.000)
Te (0.106, 0.430, 0.788)
Te (0.249, 0.249, 0.220)
Te (0.430, 0.106, 0.788)
Te (0.570, 0.894, 0.212)
Te (0.751, 0.751, 0.780)
Te (0.894, 0.570, 0.212)



Number 1: DOS(E_F) 1.296 states/eV/atom. Number 2: DOS(E_F) 1.327 states/eV/atom. Number 3: DOS(E_F) 0.650 states/eV/atom. Number 4: DOS(E_F) 0.118 states/eV/atom.